Here is a relaxed structure of Li4MnFe3P4O16 from the Alexandria database. Energies are from PBE+U.

Results
symmetry	Pm (6)
polymorph energy (0 for the lowest one)	73	meV per atom
magnetic moment	3.0	μB/cell
mass density	3.5	g/cm³

Cell lengths 4.761, 6.081, 10.437 Å; angles 90.00, 90.01, 90.00 degrees
Positions (direct):
1 Li 0.000 0.248 0.000
2 Li 0.000 0.752 0.000
3 Li 0.503 0.251 0.499
4 Li 0.503 0.749 0.499
5 Mn 0.023 0.500 0.277
6 Fe 0.475 0.500 0.782
7 Fe 0.515 0.000 0.221
8 Fe 0.976 0.000 0.720
9 P 0.091 0.000 0.403
10 P 0.421 0.000 0.907
11 P 0.586 0.500 0.090
12 P 0.918 0.500 0.595
13 O 0.207 0.000 0.542
14 O 0.231 0.202 0.334
15 O 0.231 0.798 0.334
16 O 0.241 0.500 0.598
17 O 0.263 0.500 0.092
18 O 0.287 0.203 0.836
19 O 0.287 0.797 0.836
20 O 0.297 0.000 0.045
21 O 0.711 0.500 0.952
22 O 0.718 0.295 0.160
23 O 0.718 0.705 0.160
24 O 0.743 0.000 0.904
25 O 0.768 0.000 0.396
26 O 0.784 0.297 0.665
27 O 0.784 0.703 0.665
28 O 0.795 0.500 0.457